# NaPPtS2 | Alexandria via LeMat-Bulk | PBEsol | optimized geometry
# * energy: -0.3276 Ry per atom
# * density: 4.8 g cm⁻³
data_NaPPtS2
_chemical_formula_sum 'Na1 P1 Pt1 S2'
_cell_length_a 5.014
_cell_length_b 5.014
_cell_length_c 4.350
_cell_angle_alpha 90.00
_cell_angle_beta 90.00
_cell_angle_gamma 90.00
_symmetry_space_group_name_H-M 'P 4/m m m'
_symmetry_Int_Tables_number 123
_symmetry_space_group_name_Hall '-P 4 2'
loop_
_atom_site_label
_atom_site_type_symbol
_atom_site_fract_x
_atom_site_fract_y
_atom_site_fract_z
Na1 Na 0.000 0.000 0.000
P1 P 0.500 0.500 0.000
Pt1 Pt 0.500 0.500 0.500
S1 S 0.000 0.500 0.500

# Rb2NaP2 | Alexandria via LeMat-Bulk | PBEsol | optimized geometry
# * energy: -0.2363 Ry per atom
# * density: 2.8 g cm⁻³
data_Rb2NaP2
_chemical_formula_sum 'Rb4 Na2 P4'
_cell_length_a 7.576
_cell_length_b 7.576
_cell_length_c 5.260
_cell_angle_alpha 90.00
_cell_angle_beta 90.00
_cell_angle_gamma 90.00
_symmetry_space_group_name_H-M 'P 4/m b m'
_symmetry_Int_Tables_number 127
_symmetry_space_group_name_Hall '-P 4 2ab'
loop_
_atom_site_label
_atom_site_type_symbol
_atom_site_fract_x
_atom_site_fract_y
_atom_site_fract_z
Rb1 Rb 0.176 0.324 0.000
Na1 Na 0.000 0.000 0.500
P1 P 0.101 0.601 0.500

Copy entry 1 word for word.
# NaPPtS2 | Alexandria via LeMat-Bulk | PBEsol | optimized geometry
# * energy: -0.3276 Ry per atom
# * density: 4.8 g cm⁻³
data_NaPPtS2
_chemical_formula_sum 'Na1 P1 Pt1 S2'
_cell_length_a 5.014
_cell_length_b 5.014
_cell_length_c 4.350
_cell_angle_alpha 90.00
_cell_angle_beta 90.00
_cell_angle_gamma 90.00
_symmetry_space_group_name_H-M 'P 4/m m m'
_symmetry_Int_Tables_number 123
_symmetry_space_group_name_Hall '-P 4 2'
loop_
_atom_site_label
_atom_site_type_symbol
_atom_site_fract_x
_atom_site_fract_y
_atom_site_fract_z
Na1 Na 0.000 0.000 0.000
P1 P 0.500 0.500 0.000
Pt1 Pt 0.500 0.500 0.500
S1 S 0.000 0.500 0.500

Repeat the first record exactly.
# NaPPtS2 | Alexandria via LeMat-Bulk | PBEsol | optimized geometry
# * energy: -0.3276 Ry per atom
# * density: 4.8 g cm⁻³
data_NaPPtS2
_chemical_formula_sum 'Na1 P1 Pt1 S2'
_cell_length_a 5.014
_cell_length_b 5.014
_cell_length_c 4.350
_cell_angle_alpha 90.00
_cell_angle_beta 90.00
_cell_angle_gamma 90.00
_symmetry_space_group_name_H-M 'P 4/m m m'
_symmetry_Int_Tables_number 123
_symmetry_space_group_name_Hall '-P 4 2'
loop_
_atom_site_label
_atom_site_type_symbol
_atom_site_fract_x
_atom_site_fract_y
_atom_site_fract_z
Na1 Na 0.000 0.000 0.000
P1 P 0.500 0.500 0.000
Pt1 Pt 0.500 0.500 0.500
S1 S 0.000 0.500 0.500

Question: Which of these has the lowest density?
Answer: Rb2NaP2